No. 1
Entry from Alexandria via LeMat-Bulk: a relaxed Mg7Cd2In3 crystal (GGA-PBE).

Unit cell a=5.150 b=3.315 c=16.960 alpha=90.00 beta=96.80 gamma=90.00
Fractional coordinates of all 12 atoms:
Mg 0.000 0.000 0.000
Mg 0.170 0.500 0.188
Mg 0.265 0.500 0.542
Mg 0.342 0.000 0.855
Mg 0.658 0.000 0.145
Mg 0.735 0.500 0.458
Mg 0.830 0.500 0.812
Cd 0.300 0.500 0.710
Cd 0.700 0.500 0.290
In 0.219 0.000 0.374
In 0.500 0.500 0.000
In 0.781 0.000 0.626

For the energy above the lowest structure with this stoichiometry, the calculation gives 0 meV per atom. As for the crystal system: monoclinic. The total energy comes out at -1.765 eV per atom. The calculation puts the calculated formation energy at 0.002 eV per atom.


No. 2
Entry from Alexandria via LeMat-Bulk: a relaxed MgCdIn crystal (GGA-PBE).

Unit cell a=3.352 b=3.352 c=25.526 alpha=90.00 beta=90.00 gamma=90.00
Fractional coordinates of all 12 atoms:
Mg 0.000 0.000 0.137
Mg 0.000 0.000 0.863
Mg 0.500 0.500 0.363
Mg 0.500 0.500 0.637
Cd 0.000 0.000 0.288
Cd 0.000 0.000 0.712
Cd 0.500 0.500 0.212
Cd 0.500 0.500 0.788
In 0.000 0.000 0.442
In 0.000 0.000 0.558
In 0.500 0.500 0.058
In 0.500 0.500 0.942

As for the crystal system: tetragonal. The total energy comes out at -1.800 eV per atom. The calculation puts the calculated formation energy at -0.051 eV per atom.


No. 3
Entry from Alexandria via LeMat-Bulk: a relaxed Mg7CdIn12 crystal (GGA-PBE).

Unit cell a=6.022 b=9.992 c=10.088 alpha=114.12 beta=100.65 gamma=102.18
Fractional coordinates of all 20 atoms:
Mg 0.000 0.000 0.000
Mg 0.144 0.771 0.709
Mg 0.376 0.945 0.235
Mg 0.454 0.303 0.065
Mg 0.546 0.697 0.935
Mg 0.624 0.055 0.765
Mg 0.856 0.229 0.291
Cd 0.500 0.000 0.000
In 0.024 0.646 0.939
In 0.110 0.083 0.724
In 0.159 0.445 0.629
In 0.269 0.831 0.454
In 0.395 0.300 0.372
In 0.443 0.632 0.198
In 0.557 0.368 0.802
In 0.605 0.700 0.628
In 0.731 0.169 0.546
In 0.841 0.555 0.371
In 0.890 0.917 0.276
In 0.976 0.354 0.061

For the energy above the lowest structure with this stoichiometry, the calculation gives 0 meV per atom. As for the crystal system: triclinic. The total energy comes out at -2.253 eV per atom. The calculation puts the calculated formation energy at -0.006 eV per atom.


No. 4
Entry from Alexandria via LeMat-Bulk: a relaxed Mg10CdIn6 crystal (GGA-PBE).

Unit cell a=8.632 b=8.632 c=6.267 alpha=90.00 beta=90.00 gamma=120.00
Fractional coordinates of all 17 atoms:
Mg 0.000 0.272 0.304
Mg 0.000 0.728 0.696
Mg 0.272 0.000 0.304
Mg 0.272 0.272 0.696
Mg 0.333 0.667 0.000
Mg 0.333 0.667 0.500
Mg 0.667 0.333 0.000
Mg 0.667 0.333 0.500
Mg 0.728 0.000 0.696
Mg 0.728 0.728 0.304
Cd 0.000 0.000 0.000
In 0.000 0.380 0.776
In 0.000 0.620 0.224
In 0.380 0.000 0.776
In 0.380 0.380 0.224
In 0.620 0.000 0.224
In 0.620 0.620 0.776

As for the crystal system: trigonal. The total energy comes out at -2.003 eV per atom. The calculation puts the calculated formation energy at -0.044 eV per atom.


No. 5
Entry from Alexandria via LeMat-Bulk: a relaxed Mg2Cd4In crystal (GGA-PBE).

Unit cell a=7.375 b=7.375 c=6.034 alpha=90.00 beta=90.00 gamma=90.00
Fractional coordinates of all 14 atoms:
Mg 0.000 0.500 0.250
Mg 0.000 0.500 0.750
Mg 0.500 0.000 0.250
Mg 0.500 0.000 0.750
Cd 0.199 0.199 0.000
Cd 0.199 0.801 0.000
Cd 0.301 0.301 0.500
Cd 0.301 0.699 0.500
Cd 0.699 0.301 0.500
Cd 0.699 0.699 0.500
Cd 0.801 0.199 0.000
Cd 0.801 0.801 0.000
In 0.000 0.000 0.500
In 0.500 0.500 0.000

For the energy above the lowest structure with this stoichiometry, the calculation gives 0 meV per atom. As for the crystal system: tetragonal. The total energy comes out at -1.413 eV per atom. The calculation puts the calculated formation energy at -0.044 eV per atom.


No. 6
Entry from Alexandria via LeMat-Bulk: a relaxed Mg2Cd7In2 crystal (GGA-PBE).

Unit cell a=7.507 b=7.507 c=5.543 alpha=111.10 beta=111.10 gamma=90.67
Fractional coordinates of all 11 atoms:
Mg 0.247 0.753 0.000
Mg 0.753 0.247 0.000
Cd 0.080 0.595 0.342
Cd 0.160 0.160 0.163
Cd 0.405 0.920 0.658
Cd 0.500 0.500 0.500
Cd 0.595 0.080 0.342
Cd 0.840 0.840 0.837
Cd 0.920 0.405 0.658
In 0.326 0.326 0.828
In 0.674 0.674 0.172

As for the crystal system: monoclinic. The total energy comes out at -1.364 eV per atom. The calculation puts the calculated formation energy at 0.006 eV per atom.


No. 7
Entry from Alexandria via LeMat-Bulk: a relaxed MgCdIn2 crystal (GGA-PBE).

Unit cell a=3.690 b=4.996 c=5.403 alpha=90.00 beta=90.00 gamma=90.00
Fractional coordinates of all 4 atoms:
Mg 0.000 0.000 0.000
Cd 0.500 0.000 0.500
In 0.000 0.500 0.500
In 0.500 0.500 0.000

As for the crystal system: orthorhombic. The total energy comes out at -1.986 eV per atom. The calculation puts the calculated formation energy at 0.010 eV per atom.


No. 8
Entry from Alexandria via LeMat-Bulk: a relaxed Mg2CdIn2 crystal (GGA-PBE).

Unit cell a=4.403 b=4.403 c=13.416 alpha=90.00 beta=90.00 gamma=90.00
Fractional coordinates of all 10 atoms:
Mg 0.000 0.500 0.250
Mg 0.000 0.500 0.750
Mg 0.500 0.000 0.250
Mg 0.500 0.000 0.750
Cd 0.000 0.000 0.000
Cd 0.500 0.500 0.500
In 0.000 0.000 0.397
In 0.000 0.000 0.603
In 0.500 0.500 0.103
In 0.500 0.500 0.897

For the energy above the lowest structure with this stoichiometry, the calculation gives 112 meV per atom. As for the crystal system: tetragonal. The total energy comes out at -1.812 eV per atom. The calculation puts the calculated formation energy at 0.104 eV per atom.


No. 9
Entry from Alexandria via LeMat-Bulk: a relaxed MgCd3In12 crystal (GGA-PBE).

Unit cell a=4.744 b=4.744 c=18.381 alpha=90.00 beta=90.00 gamma=90.00
Fractional coordinates of all 16 atoms:
Mg 0.000 0.000 0.000
Cd 0.000 0.000 0.248
Cd 0.000 0.000 0.500
Cd 0.000 0.000 0.752
In 0.000 0.500 0.122
In 0.000 0.500 0.374
In 0.000 0.500 0.626
In 0.000 0.500 0.878
In 0.500 0.000 0.122
In 0.500 0.000 0.374
In 0.500 0.000 0.626
In 0.500 0.000 0.878
In 0.500 0.500 0.000
In 0.500 0.500 0.247
In 0.500 0.500 0.500
In 0.500 0.500 0.753

As for the crystal system: tetragonal. The total energy comes out at -2.315 eV per atom. The calculation puts the calculated formation energy at 0.010 eV per atom.


No. 10
Entry from Alexandria via LeMat-Bulk: a relaxed Mg4Cd7In crystal (GGA-PBE).

Unit cell a=6.178 b=7.080 c=7.186 alpha=72.47 beta=74.74 gamma=65.49
Fractional coordinates of all 12 atoms:
Mg 0.091 0.171 0.333
Mg 0.335 0.661 0.327
Mg 0.665 0.339 0.673
Mg 0.909 0.829 0.667
Cd 0.000 0.000 0.000
Cd 0.163 0.339 0.664
Cd 0.250 0.504 0.997
Cd 0.402 0.832 0.651
Cd 0.598 0.168 0.349
Cd 0.750 0.496 0.003
Cd 0.837 0.661 0.336
In 0.500 0.000 0.000

For the energy above the lowest structure with this stoichiometry, the calculation gives 0 meV per atom. As for the crystal system: triclinic. The total energy comes out at -1.351 eV per atom. The calculation puts the calculated formation energy at -0.058 eV per atom.


No. 11
Entry from Alexandria via LeMat-Bulk: a relaxed Mg2CdIn5 crystal (GGA-PBE).

Unit cell a=6.571 b=12.668 c=4.722 alpha=90.00 beta=90.00 gamma=90.00
Fractional coordinates of all 16 atoms:
Mg 0.248 0.126 0.000
Mg 0.252 0.626 0.000
Mg 0.748 0.374 0.000
Mg 0.752 0.874 0.000
Cd 0.000 0.500 0.500
Cd 0.500 0.000 0.500
In 0.000 0.000 0.500
In 0.002 0.746 0.500
In 0.246 0.378 0.000
In 0.254 0.878 0.000
In 0.498 0.246 0.500
In 0.500 0.500 0.500
In 0.502 0.754 0.500
In 0.746 0.122 0.000
In 0.754 0.622 0.000
In 0.998 0.254 0.500

For the energy above the lowest structure with this stoichiometry, the calculation gives 0 meV per atom. As for the crystal system: orthorhombic. The total energy comes out at -2.265 eV per atom. The calculation puts the calculated formation energy at -0.040 eV per atom.


No. 12
Entry from Alexandria via LeMat-Bulk: a relaxed MgCdIn2 crystal (GGA-PBE).

Unit cell a=7.339 b=7.339 c=7.339 alpha=90.00 beta=90.00 gamma=90.00
Fractional coordinates of all 16 atoms:
Mg 0.000 0.000 0.000
Mg 0.000 0.500 0.500
Mg 0.500 0.000 0.500
Mg 0.500 0.500 0.000
Cd 0.250 0.250 0.750
Cd 0.250 0.750 0.250
Cd 0.750 0.250 0.250
Cd 0.750 0.750 0.750
In 0.000 0.000 0.500
In 0.000 0.500 0.000
In 0.250 0.250 0.250
In 0.250 0.750 0.750
In 0.500 0.000 0.000
In 0.500 0.500 0.500
In 0.750 0.250 0.750
In 0.750 0.750 0.250

As for the crystal system: cubic. The total energy comes out at -1.972 eV per atom. The calculation puts the calculated formation energy at 0.025 eV per atom.